[1]
Below is a relaxed structure of TaTc2Ir, with properties calculated at the PBE-GGA level.

```
TaTc2Ir
1.0
5.572 0.000 0.000
0.000 7.913 0.000
0.000 0.000 2.788
Ta Tc Ir
2 4 2
Cartesian
0.000 0.000 0.000 Ta
2.786 3.956 0.000 Ta
1.393 1.978 1.394 Tc
1.393 5.935 1.394 Tc
4.179 1.978 1.394 Tc
4.179 5.935 1.394 Tc
0.000 3.956 0.000 Ir
2.786 0.000 0.000 Ir
```

As for the energy of formation: -0.13 eV/atom. The offset from the most stable computed form comes out at 130 meV per atom.


[2]
Below is a relaxed structure of Rb2FeI, with properties calculated at the PBE-GGA level.

```
Rb2FeI
1.0
9.528 0.000 0.000
0.000 9.528 0.000
0.000 0.000 9.581
Rb Fe I
8 4 4
Cartesian
2.374 2.382 1.198 Rb
2.382 7.138 3.593 Rb
2.382 7.154 8.383 Rb
2.390 2.382 5.988 Rb
7.138 7.146 5.988 Rb
7.146 2.374 8.383 Rb
7.146 2.390 3.593 Rb
7.154 7.146 1.198 Rb
0.000 0.000 0.000 Fe
0.000 4.764 2.395 Fe
4.764 0.000 7.186 Fe
4.764 4.764 4.791 Fe
0.000 0.000 4.791 I
0.000 4.764 7.186 I
4.764 0.000 2.395 I
4.764 4.764 0.000 I
```

The offset from the most stable computed form comes out at 57 meV per atom. The calculation puts the energy relative to the elements, uncorrected at 0.240 eV/atom.


[3]
Below is a relaxed structure of Ba3ZnIn, with properties calculated at the PBE-GGA level.

```
Ba3ZnIn
1.0
10.944 0.000 0.000
0.000 6.913 0.000
-6.507 0.000 11.878
Ba Zn In
12 4 4
Cartesian
-0.555 0.750 1.921 Ba
-3.808 2.706 7.860 Ba
2.495 4.602 1.942 Ba
-0.758 5.767 7.881 Ba
-2.301 1.466 11.473 Ba
0.952 1.990 5.534 Ba
3.485 4.923 6.345 Ba
6.738 5.447 0.406 Ba
5.195 1.146 3.997 Ba
1.942 2.311 9.936 Ba
8.245 4.207 4.018 Ba
4.992 6.162 9.957 Ba
-2.811 4.835 10.544 Zn
0.443 5.535 4.604 Zn
3.994 1.378 7.274 Zn
7.248 2.078 1.335 Zn
-2.274 0.736 5.071 In
-5.527 2.721 11.010 In
9.964 4.192 0.868 In
6.711 6.177 6.807 In
```

As for the energy of formation: -0.19 eV/atom. The offset from the most stable computed form comes out at 66 meV per atom.


[4]
Below is a relaxed structure of BeCdW2, with properties calculated at the PBE-GGA level.

```
BeCdW2
1.0
3.578 0.000 0.000
0.000 4.221 0.000
0.000 0.000 7.977
Be Cd W
2 2 4
Cartesian
0.000 0.000 0.000 Be
1.789 2.110 0.000 Be
0.000 0.000 3.989 Cd
1.789 2.110 3.989 Cd
0.000 2.110 1.600 W
0.000 2.110 6.377 W
1.789 0.000 1.600 W
1.789 0.000 6.377 W
```

As for the energy of formation: 0.41 eV/atom. The offset from the most stable computed form comes out at 58 meV per atom.


[5]
Below is a relaxed structure of PtO2F2, with properties calculated at the PBE-GGA level.

```
PtO2F2
1.0
3.552 0.000 0.000
0.000 3.552 0.000
0.000 0.000 4.486
Pt O F
1 2 2
Cartesian
0.000 0.000 0.000 Pt
0.000 1.776 2.243 O
1.776 0.000 2.243 O
1.776 1.776 0.000 F
1.776 1.776 2.243 F
```

The calculation puts the energy relative to the elements, uncorrected at 1.177 eV/atom.


[6]
Below is a relaxed structure of PmAlAu4, with properties calculated at the PBE-GGA level.

```
PmAlAu4
1.0
5.526 -3.075 0.000
5.526 3.075 0.000
-2.355 0.000 7.236
Pm Al Au
2 2 8
Cartesian
1.637 0.000 2.278 Pm
7.060 0.000 4.958 Pm
3.099 0.000 5.411 Al
5.598 0.000 1.825 Al
4.157 1.556 0.417 Au
0.675 0.000 5.128 Au
4.349 1.507 3.618 Au
4.540 1.556 6.819 Au
4.157 -1.556 0.417 Au
4.349 -1.507 3.618 Au
8.022 0.000 2.108 Au
4.540 -1.556 6.819 Au
```

As for the energy of formation: -0.54 eV/atom. The offset from the most stable computed form comes out at 0 meV per atom.


no.,size of the total moment (μB per formula unit)
1,0.000
2,3.000
3,0.000
4,0.000
5,2.869
6,0.000